No. 1
Here is an optimized crystal structure of As2PbWSe from the Alexandria database. Energies are from GGA-PBEsol.

a = 4.907 Å, b = 4.907 Å, c = 4.913 Å
α = 90.00°, β = 90.00°, γ = 90.00°
Positions (direct):
As1 0.000 0.500 0.000
Pb1 0.500 0.500 0.500
Se1 0.000 0.000 0.500
W1 0.000 0.000 0.000
As2 0.500 0.000 0.000

Summary:
Its crystal system is tetragonal. As for the magnetic moment: 0.001 μB/f.u. The total energy is -6.016 eV/atom. As for the formation energy from raw total energies: 358 meV/atom.

---

No. 2
Here is an optimized crystal structure of LiPbAu2 from the Alexandria database. Energies are from GGA-PBEsol.

a = 3.271 Å, b = 4.413 Å, c = 5.799 Å
α = 90.00°, β = 106.53°, γ = 90.00°
Positions (direct):
Li1 0.519 0.000 0.414
Pb1 0.213 0.500 0.797
Au1 0.958 0.500 0.296
Au2 0.810 0.000 0.993

Summary:
Its crystal system is monoclinic. As for the magnetic moment: 0.000 μB/f.u. The total energy is -3.662 eV/atom. For the formation enthalpy at 0 K, the calculation gives -0.83 eV per formula unit.

---

No. 3
Here is an optimized crystal structure of CaP2H4O4 from the Alexandria database. Energies are from GGA-PBEsol.

a = 5.682 Å, b = 6.526 Å, c = 8.032 Å
α = 101.01°, β = 110.71°, γ = 90.00°
Positions (direct):
P1 0.538 0.780 0.714
O1 0.459 0.270 0.778
H1 0.537 0.129 0.443
P2 0.824 0.720 0.286
P3 0.176 0.280 0.714
H2 0.463 0.871 0.557
H3 0.943 0.927 0.349
O2 0.212 0.105 0.151
P4 0.462 0.220 0.286
O3 0.319 0.770 0.778
H4 0.593 0.573 0.651
O4 0.541 0.730 0.222
O5 0.681 0.230 0.222
H5 0.094 0.371 0.557
H6 0.057 0.073 0.651
Ca1 0.167 0.750 0.000
O6 0.938 0.605 0.151
O7 0.788 0.895 0.849
H7 0.407 0.427 0.349
O8 0.062 0.395 0.849
H8 0.906 0.629 0.443
Ca2 0.833 0.250 0.000

Summary:
Its crystal system is monoclinic. As for the magnetic moment: 0.000 μB/f.u. The total energy is -5.838 eV/atom.

---

No. 4
Here is an optimized crystal structure of YNOF2 from the Alexandria database. Energies are from GGA-PBEsol.

a = 3.789 Å, b = 3.789 Å, c = 3.673 Å
α = 90.00°, β = 90.00°, γ = 90.00°
Positions (direct):
F1 0.500 0.000 0.000
Y1 0.500 0.500 0.500
N1 0.000 0.000 0.500
O1 0.000 0.000 0.000
F2 0.000 0.500 0.000

Summary:
Its crystal system is tetragonal. As for the magnetic moment: 0.000 μB/f.u. The total energy is -5.674 eV/atom. As for the formation energy from raw total energies: -783 meV/atom. The energy above the most stable polymorph in this dataset is 576 meV/atom.

---

No. 5
Here is an optimized crystal structure of TcHRu2Pt from the Alexandria database. Energies are from GGA-PBEsol.

a = 3.842 Å, b = 3.857 Å, c = 3.857 Å
α = 90.00°, β = 90.00°, γ = 90.00°
Positions (direct):
Pt1 0.500 0.500 0.500
Tc1 0.500 0.000 0.000
Ru1 0.000 0.000 0.500
Ru2 0.000 0.500 0.000
H1 0.000 0.000 0.000

Summary:
Its crystal system is tetragonal. As for the magnetic moment: 0.000 μB/f.u. The total energy is -8.367 eV/atom.

---

No. 6
Here is an optimized crystal structure of HoEr3 from the Alexandria database. Energies are from GGA-PBEsol.

a = 5.460 Å, b = 7.015 Å, c = 7.015 Å
α = 120.00°, β = 90.00°, γ = 90.00°
Positions (direct):
Er1 0.750 0.834 0.667
Ho1 0.250 0.667 0.333
Er2 0.250 0.166 0.834
Ho2 0.750 0.333 0.667
Er3 0.750 0.333 0.166
Er4 0.750 0.834 0.166
Er5 0.250 0.166 0.333
Er6 0.250 0.667 0.834

Summary:
Its crystal system is hexagonal. As for the magnetic moment: 0.000 μB/f.u. The total energy is -4.926 eV/atom. For the formation enthalpy at 0 K, the calculation gives 0.03 eV per formula unit.

---

No. 7
Here is an optimized crystal structure of MgReSi2 from the Alexandria database. Energies are from GGA-PBEsol.

a = 3.033 Å, b = 4.036 Å, c = 4.933 Å
α = 89.97°, β = 107.90°, γ = 90.00°
Positions (direct):
Si1 0.059 0.875 0.117
Re1 0.775 0.875 0.549
Si2 0.203 0.375 0.406
Mg1 0.464 0.375 0.927

Summary:
Its crystal system is orthorhombic. As for the magnetic moment: 0.000 μB/f.u. The total energy is -6.629 eV/atom. As for the formation energy from raw total energies: 7 meV/atom.

---

No. 8
Here is an optimized crystal structure of LiHfZn2 from the Alexandria database. Energies are from GGA-PBEsol.

a = 4.457 Å, b = 4.457 Å, c = 4.457 Å
α = 60.00°, β = 60.00°, γ = 60.00°
Positions (direct):
Zn1 0.250 0.250 0.250
Zn2 0.750 0.750 0.750
Hf1 0.500 0.500 0.500
Li1 0.000 0.000 0.000

Summary:
Its crystal system is cubic. As for the magnetic moment: 0.000 μB/f.u. The total energy is -4.035 eV/atom. For the formation enthalpy at 0 K, the calculation gives -0.51 eV per formula unit.

---

No. 9
Here is an optimized crystal structure of CdPtPb2 from the Alexandria database. Energies are from GGA-PBEsol.

a = 3.992 Å, b = 4.743 Å, c = 4.743 Å
α = 90.00°, β = 90.00°, γ = 90.00°
Positions (direct):
Pb1 0.000 0.500 0.500
Pt1 0.500 0.500 0.000
Cd1 0.500 0.000 0.500
Pb2 0.000 0.000 0.000

Summary:
Its crystal system is tetragonal. As for the magnetic moment: 0.000 μB/f.u. The total energy is -3.950 eV/atom. For the formation enthalpy at 0 K, the calculation gives 0.36 eV per formula unit.

---

No. 10
Here is an optimized crystal structure of BeAlW2 from the Alexandria database. Energies are from GGA-PBEsol.

a = 2.685 Å, b = 4.514 Å, c = 4.514 Å
α = 90.00°, β = 90.00°, γ = 90.00°
Positions (direct):
Al1 0.500 0.500 0.500
W1 0.000 0.500 0.000
Be1 0.500 0.000 0.000
W2 0.000 0.000 0.500

Summary:
Its crystal system is tetragonal. As for the magnetic moment: 0.000 μB/f.u. The total energy is -8.573 eV/atom. For the formation enthalpy at 0 K, the calculation gives 1.41 eV per formula unit.

---

No. 11
Here is an optimized crystal structure of FeSiHg2 from the Alexandria database. Energies are from GGA-PBEsol.

a = 2.937 Å, b = 2.937 Å, c = 7.669 Å
α = 90.00°, β = 90.00°, γ = 90.00°
Positions (direct):
Hg1 0.000 0.000 0.048
Hg2 0.500 0.500 0.720
Si1 0.000 0.000 0.428
Fe1 0.500 0.500 0.304

Summary:
Its crystal system is tetragonal. As for the magnetic moment: 0.001 μB/f.u. The total energy is -3.805 eV/atom. As for the formation energy from raw total energies: 156 meV/atom.

---

No. 12
Here is an optimized crystal structure of CaMg2Pt from the Alexandria database. Energies are from GGA-PBEsol.

a = 3.233 Å, b = 4.510 Å, c = 5.996 Å
α = 90.00°, β = 105.72°, γ = 90.00°
Positions (direct):
Pt1 0.500 0.500 0.000
Mg1 0.672 0.000 0.792
Ca1 0.000 0.500 0.500
Mg2 0.328 0.000 0.208

Summary:
Its crystal system is monoclinic. As for the magnetic moment: 0.000 μB/f.u. The total energy is -3.459 eV/atom. For the formation enthalpy at 0 K, the calculation gives -1.30 eV per formula unit.

---

No. 13
Here is an optimized crystal structure of MgAl2Au from the Alexandria database. Energies are from GGA-PBEsol.

a = 3.121 Å, b = 3.986 Å, c = 5.568 Å
α = 90.00°, β = 90.00°, γ = 90.00°
Positions (direct):
Au1 0.500 0.500 0.000
Al1 0.000 0.000 0.240
Al2 0.000 0.000 0.760
Mg1 0.500 0.500 0.500

Summary:
Its crystal system is orthorhombic. As for the magnetic moment: 0.000 μB/f.u. The total energy is -3.595 eV/atom. For the formation enthalpy at 0 K, the calculation gives -0.56 eV per formula unit.

---

No. 14
Here is an optimized crystal structure of TiMn2BeNi from the Alexandria database. Energies are from GGA-PBEsol.

a = 4.210 Å, b = 4.210 Å, c = 4.309 Å
α = 90.00°, β = 90.00°, γ = 90.00°
Positions (direct):
Be1 0.500 0.500 0.500
Ni1 0.000 0.000 0.500
Mn1 0.500 0.000 0.000
Mn2 0.000 0.500 0.000
Ti1 0.000 0.000 0.000

Summary:
Its crystal system is tetragonal. As for the magnetic moment: 4.502 μB/f.u. The total energy is -6.229 eV/atom. For the formation enthalpy at 0 K, the calculation gives 6.86 eV per formula unit.

---

No. 15
Here is an optimized crystal structure of Ta3Br from the Alexandria database. Energies are from GGA-PBEsol.

a = 3.238 Å, b = 4.681 Å, c = 4.681 Å
α = 90.00°, β = 90.00°, γ = 90.00°
Positions (direct):
Ta1 0.500 0.000 0.500
Ta2 0.500 0.500 0.000
Ta3 0.000 0.500 0.500
Br1 0.000 0.000 0.000

Summary:
Its crystal system is tetragonal. As for the magnetic moment: 0.000 μB/f.u. The total energy is -9.266 eV/atom. As for the formation energy from raw total energies: 615 meV/atom. The energy above the most stable polymorph in this dataset is 363 meV/atom.

---

No. 16
Here is an optimized crystal structure of Cd2PI from the Alexandria database. Energies are from GGA-PBEsol.

a = 5.075 Å, b = 5.075 Å, c = 5.075 Å
α = 60.00°, β = 60.00°, γ = 60.00°
Positions (direct):
I1 0.500 0.500 0.500
Cd1 0.250 0.250 0.250
Cd2 0.750 0.750 0.750
P1 0.000 0.000 0.000

Summary:
Its crystal system is cubic. As for the magnetic moment: 0.000 μB/f.u. The total energy is -2.050 eV/atom. As for the formation energy from raw total energies: 438 meV/atom. The energy above the most stable polymorph in this dataset is 667 meV/atom.

---

No. 17
Here is an optimized crystal structure of MoOs from the Alexandria database. Energies are from GGA-PBEsol.

a = 4.369 Å, b = 4.369 Å, c = 4.369 Å
α = 60.00°, β = 60.00°, γ = 60.00°
Positions (direct):
Mo1 0.500 0.500 0.500
Mo2 0.750 0.750 0.750
Os1 0.250 0.250 0.250
Os2 0.000 0.000 0.000

Summary:
Its crystal system is cubic. As for the magnetic moment: 0.000 μB/f.u. The total energy is -11.623 eV/atom. For the formation enthalpy at 0 K, the calculation gives 0.74 eV per formula unit.

---

No. 18
Here is an optimized crystal structure of CeSi3N5 from the Alexandria database. Energies are from GGA-PBEsol.

a = 4.778 Å, b = 7.832 Å, c = 11.183 Å
α = 90.00°, β = 90.00°, γ = 90.00°
Positions (direct):
N1 0.954 0.659 0.420
Si1 0.018 0.340 0.162
Si2 0.518 0.160 0.838
Ce1 0.996 0.938 0.670
Si3 0.017 0.208 0.417
N2 0.172 0.109 0.830
N3 0.177 0.295 0.296
Si4 0.974 0.533 0.541
N4 0.454 0.841 0.580
Si5 0.517 0.292 0.583
N5 0.709 0.648 0.987
Si6 0.474 0.967 0.459
N6 0.046 0.159 0.080
Si7 0.983 0.708 0.083
N7 0.828 0.609 0.670
Ce2 0.004 0.438 0.830
N8 0.209 0.852 0.013
Ce3 0.504 0.062 0.170
N9 0.291 0.148 0.513
Si8 0.026 0.033 0.959
N10 0.546 0.341 0.920
Si9 0.482 0.660 0.662
N11 0.791 0.352 0.487
Si10 0.483 0.792 0.917
N12 0.813 0.020 0.405
Si11 0.526 0.467 0.041
Si12 0.982 0.840 0.338
N13 0.677 0.205 0.704
N14 0.313 0.480 0.595
N15 0.328 0.891 0.330
N16 0.187 0.520 0.095
N17 0.323 0.705 0.796
N18 0.823 0.795 0.204
Ce4 0.496 0.562 0.330
N19 0.687 0.980 0.905
N20 0.672 0.391 0.170

Summary:
Its crystal system is orthorhombic. As for the magnetic moment: 1.000 μB/f.u. The total energy is -8.722 eV/atom. As for the formation energy from raw total energies: -1336 meV/atom.

---

No. 19
Here is an optimized crystal structure of FeIr2Cl from the Alexandria database. Energies are from GGA-PBEsol.

a = 2.728 Å, b = 4.589 Å, c = 4.589 Å
α = 105.14°, β = 90.00°, γ = 90.00°
Positions (direct):
Fe1 0.500 0.500 0.500
Cl1 0.500 0.000 0.000
Ir1 0.000 0.000 0.500
Ir2 0.000 0.500 0.000

Summary:
Its crystal system is orthorhombic. As for the magnetic moment: 3.248 μB/f.u. The total energy is -6.755 eV/atom. As for the formation energy from raw total energies: 899 meV/atom. The energy above the most stable polymorph in this dataset is 251 meV/atom.

---

No. 20
Here is an optimized crystal structure of Li2MnCoO4 from the Alexandria database. Energies are from GGA-PBEsol.

a = 2.830 Å, b = 4.892 Å, c = 9.455 Å
α = 94.48°, β = 98.61°, γ = 90.00°
Positions (direct):
Li1 0.000 0.000 0.000
Co1 0.125 0.375 0.250
O1 0.931 0.312 0.862
O2 0.320 0.436 0.640
Mn1 0.625 0.875 0.250
O3 0.680 0.564 0.360
O4 0.181 0.062 0.362
O5 0.819 0.938 0.638
Li2 0.500 0.500 0.000
Li3 0.749 0.256 0.497
O6 0.570 0.185 0.140
O7 0.069 0.688 0.138
O8 0.430 0.815 0.860
Mn2 0.375 0.125 0.750
Co2 0.875 0.625 0.750
Li4 0.251 0.744 0.503

Summary:
Its crystal system is monoclinic. As for the magnetic moment: 1.998 μB/f.u. The total energy is -6.968 eV/atom. As for the formation energy from raw total energies: -1665 meV/atom. The energy above the most stable polymorph in this dataset is 1 meV/atom.

---

The evaluated calculated volume for the records listed, in turn: 118.30, 80.26, 272.72, 52.73, 57.17, 232.70, 57.45, 62.60, 89.80, 54.72, 66.15, 84.16, 69.28, 76.37, 70.95, 92.43, 58.97, 418.53, 55.45, 129.04 Å³ per cell.
The evaluated theoretical density for the records listed, in turn: 8.7, 12.6, 2.1, 4.9, 14.4, 9.5, 7.7, 8.4, 13.3, 12.3, 12.2, 5.6, 6.6, 4.9, 14.6, 6.9, 16.1, 4.7, 14.2, 4.9 Mg/m³.